## Dy6CSe3S2 (GGA-PBE)

Data for a geometry-optimized Dy6CSe3S2 structure.

Computed properties:
Total energy, eV per cell: -75.8
Symmetry: C2/m
Formation energy (no corrections), eV per atom: -1.691

Cell: 6.7793 6.7793 6.9578 Å, 99.32 99.32 119.91°
Positions (direct):
Se 0.8275 0.1725 0.5000
Se 0.5000 0.5000 0.5000
Se 0.1725 0.8275 0.5000
Dy 0.3786 0.0710 0.2143
Dy 0.0710 0.3786 0.2143
Dy 0.7659 0.7659 0.2182
Dy 0.9290 0.6214 0.7857
Dy 0.2341 0.2341 0.7818
Dy 0.6214 0.9290 0.7857
C 0.0000 0.0000 0.0000
S 0.6659 0.3341 0.0000
S 0.3341 0.6659 0.0000